[1]
CaAsP: optimized geometry, GGA-PBE.

Cell: 6.056 9.562 5.551 Å, 90.00 120.97 90.00°
Element x y z (fractional)
Ca (0.995, 0.869, 0.302)
Ca (0.495, 0.131, 0.802)
Ca (0.995, 0.369, 0.802)
Ca (0.495, 0.631, 0.302)
As (0.766, 0.392, 0.170)
As (0.266, 0.608, 0.670)
As (0.766, 0.892, 0.670)
As (0.266, 0.108, 0.170)
P (0.722, 0.111, 0.434)
P (0.222, 0.889, 0.934)
P (0.722, 0.611, 0.934)
P (0.222, 0.389, 0.434)

Computed properties:
* total moment: 0.000 μB per cell
* density of states at the Fermi level: 0.00 states/eV/atom
* ΔE_f: -0.7148 eV per atom
* distance to the lowest polymorph of the same formula: 10 meV/atom

=====

[2]
Nb2SnP: optimized geometry, GGA-PBE.

Cell: 4.022 4.022 10.036 Å, 78.44 78.44 90.00°
Element x y z (fractional)
P (0.500, 0.500, 0.000)
P (0.250, 0.750, 0.500)
Nb (0.610, 0.125, 0.250)
Nb (0.140, 0.625, 0.250)
Nb (0.375, 0.390, 0.750)
Nb (0.875, 0.860, 0.750)
Sn (0.000, 0.000, 0.000)
Sn (0.750, 0.250, 0.500)

Computed properties:
* total moment: 0.000 μB per cell
* density of states at the Fermi level: 0.91 states/eV/atom
* ΔE_f: 0.1991 eV per atom
* distance to the lowest polymorph of the same formula: 601 meV/atom

=====

[3]
Sr4Ca2Pd: optimized geometry, GGA-PBE.

Cell: 5.904 5.904 10.664 Å, 106.07 106.07 90.00°
Element x y z (fractional)
Sr (0.843, 0.843, 0.686)
Sr (0.157, 0.157, 0.314)
Sr (0.000, 0.500, 0.000)
Sr (0.500, 0.000, 0.000)
Ca (0.642, 0.642, 0.284)
Ca (0.358, 0.358, 0.716)
Pd (0.000, 0.000, 0.000)

Computed properties:
* total moment: 0.000 μB per cell
* density of states at the Fermi level: 1.06 states/eV/atom
* ΔE_f: -0.0544 eV per atom

=====

[4]
Ac4GaSi4: optimized geometry, GGA-PBE.

Cell: 6.568 8.759 8.759 Å, 90.00 90.00 90.00°
Element x y z (fractional)
Ac (0.348, 0.281, 0.930)
Ac (0.848, 0.570, 0.781)
Ac (0.348, 0.719, 0.070)
Ac (0.152, 0.219, 0.570)
Ac (0.652, 0.930, 0.719)
Ac (0.152, 0.781, 0.430)
Ac (0.848, 0.430, 0.219)
Ac (0.652, 0.070, 0.281)
Ga (0.000, 0.000, 0.000)
Ga (0.500, 0.500, 0.500)
Si (0.668, 0.737, 0.384)
Si (0.668, 0.263, 0.616)
Si (0.168, 0.884, 0.763)
Si (0.832, 0.237, 0.884)
Si (0.832, 0.763, 0.116)
Si (0.332, 0.384, 0.263)
Si (0.332, 0.616, 0.737)
Si (0.168, 0.116, 0.237)

Computed properties:
* total moment: 0.000 μB per cell
* density of states at the Fermi level: 0.66 states/eV/atom
* E_form (uncorrected): -414.5 meV per atom